#A
Computed, not measured: a relaxed structure of Si2SbSe2 at the PBE level of DFT.

Calculated values
D(E_F) = 0.47 states/eV/atom

Cell: 5.405 5.405 5.405 Å, 122.55 122.55 85.64°
Positions (direct):
Si  0.156  0.156  0.000
Si  0.844  0.844  0.000
Sb  0.500  0.500  0.000
Se  0.250  0.750  0.500
Se  0.750  0.250  0.500

=====

#B
Computed, not measured: a relaxed structure of Si2SbSe2 at the PBE level of DFT.

Calculated values
D(E_F) = 0.40 states/eV/atom

Cell: 5.725 5.725 5.725 Å, 127.43 127.43 77.55°
Positions (direct):
Si  0.250  0.750  0.500
Si  0.750  0.250  0.500
Sb  0.000  0.000  0.000
Se  0.325  0.325  0.000
Se  0.675  0.675  0.000

=====

It turns out #A is the most stable, with the second structure 96 meV per atom higher.

=====

#A
Computed, not measured: a relaxed structure of SiSb3Se at the PBE level of DFT.

Calculated values
D(E_F) = 0.83 states/eV/atom

Cell: 5.383 5.383 5.383 Å, 90.00 90.00 90.00°
Positions (direct):
Si  0.000  0.000  0.000
Sb  0.000  0.500  0.500
Sb  0.500  0.000  0.500
Sb  0.500  0.500  0.000
Se  0.500  0.500  0.500

=====

#B
Computed, not measured: a relaxed structure of SiSb3Se at the PBE level of DFT.

Calculated values
D(E_F) = 0.78 states/eV/atom

Cell: 5.203 5.203 5.203 Å, 90.00 90.00 90.00°
Positions (direct):
Si  0.000  0.000  0.000
Sb  0.000  0.000  0.500
Sb  0.000  0.500  0.000
Sb  0.500  0.000  0.000
Se  0.500  0.500  0.500

=====

It turns out #B is the most stable, with the second structure 269 meV per atom higher.

=====

#A
Computed, not measured: a relaxed structure of SiSbSe3 at the PBE level of DFT.

Calculated values
D(E_F) = 0.55 states/eV/atom

Cell: 4.855 4.855 4.855 Å, 90.00 90.00 90.00°
Positions (direct):
Si  0.000  0.000  0.000
Sb  0.500  0.500  0.500
Se  0.000  0.000  0.500
Se  0.000  0.500  0.000
Se  0.500  0.000  0.000

=====

#B
Computed, not measured: a relaxed structure of SiSbSe3 at the PBE level of DFT.

Calculated values
D(E_F) = 0.65 states/eV/atom

Cell: 5.284 5.284 5.284 Å, 90.00 90.00 90.00°
Positions (direct):
Si  0.000  0.000  0.000
Sb  0.500  0.500  0.500
Se  0.000  0.500  0.500
Se  0.500  0.000  0.500
Se  0.500  0.500  0.000

=====

It turns out #A is the most stable, with the second structure 494 meV per atom higher.

=====

#A
Computed, not measured: a relaxed structure of SiSbTe2Se at the PBE level of DFT.

Calculated values
D(E_F) = 1.11 states/eV/atom

Cell: 5.138 5.138 5.422 Å, 90.00 90.00 90.00°
Positions (direct):
Si  0.000  0.000  0.000
Sb  0.000  0.000  0.500
Te  0.000  0.500  0.000
Te  0.500  0.000  0.000
Se  0.500  0.500  0.500

=====

#B
Computed, not measured: a relaxed structure of SiSbTe2Se at the PBE level of DFT.

Calculated values
D(E_F) = 0.96 states/eV/atom

Cell: 5.404 5.404 5.444 Å, 90.00 90.00 90.00°
Positions (direct):
Si  0.000  0.000  0.000
Sb  0.500  0.500  0.000
Te  0.000  0.500  0.500
Te  0.500  0.000  0.500
Se  0.500  0.500  0.500

=====

It turns out #A is the most stable, with the second structure 222 meV per atom higher.

=====

#A
Computed, not measured: a relaxed structure of SiSb2TeSe at the PBE level of DFT.

Calculated values
D(E_F) = 1.10 states/eV/atom

Cell: 5.408 5.408 5.398 Å, 90.00 90.00 90.00°
Positions (direct):
Si  0.000  0.000  0.000
Sb  0.000  0.500  0.500
Sb  0.500  0.000  0.500
Te  0.500  0.500  0.000
Se  0.500  0.500  0.500

=====

#B
Computed, not measured: a relaxed structure of SiSb2TeSe at the PBE level of DFT.

Calculated values
D(E_F) = 0.93 states/eV/atom

Cell: 5.278 5.278 5.086 Å, 90.00 90.00 90.00°
Positions (direct):
Si  0.000  0.000  0.000
Sb  0.000  0.500  0.000
Sb  0.500  0.000  0.000
Te  0.000  0.000  0.500
Se  0.500  0.500  0.500

=====

It turns out #B is the most stable, with the second structure 272 meV per atom higher.

=====

#A
Computed, not measured: a relaxed structure of Sm3SbSe at the PBE level of DFT.

Calculated values
D(E_F) = 0.96 states/eV/atom

Cell: 7.256 4.288 11.043 Å, 90.00 99.97 90.00°
Positions (direct):
Sm  0.188  0.250  0.256
Sm  0.245  0.250  0.917
Sm  0.311  0.750  0.576
Sm  0.689  0.250  0.424
Sm  0.755  0.750  0.083
Sm  0.812  0.750  0.744
Sb  0.043  0.250  0.648
Sb  0.957  0.750  0.352
Se  0.481  0.750  0.848
Se  0.519  0.250  0.152

=====

#B
Computed, not measured: a relaxed structure of Sm3SbSe at the PBE level of DFT.

Calculated values
D(E_F) = 0.47 states/eV/atom

Cell: 8.640 4.233 15.792 Å, 90.00 90.00 90.00°
Positions (direct):
Sm  0.016  0.250  0.110
Sm  0.155  0.250  0.544
Sm  0.167  0.750  0.285
Sm  0.333  0.250  0.785
Sm  0.345  0.750  0.044
Sm  0.484  0.750  0.610
Sm  0.516  0.250  0.390
Sm  0.655  0.250  0.956
Sm  0.667  0.750  0.215
Sm  0.833  0.250  0.715
Sm  0.845  0.750  0.456
Sm  0.984  0.750  0.890
Sb  0.115  0.750  0.695
Sb  0.385  0.250  0.195
Sb  0.615  0.750  0.805
Sb  0.885  0.250  0.305
Se  0.191  0.250  0.951
Se  0.309  0.750  0.451
Se  0.691  0.250  0.549
Se  0.809  0.750  0.049

=====

It turns out #B is the most stable, with the second structure 294 meV per atom higher.

=====

#A
Computed, not measured: a relaxed structure of Sm2SbSe at the PBE level of DFT.

Calculated values
D(E_F) = 0.37 states/eV/atom

Cell: 4.323 6.141 8.656 Å, 90.00 90.00 90.00°
Positions (direct):
Sm  0.250  0.250  0.118
Sm  0.250  0.250  0.633
Sm  0.750  0.750  0.367
Sm  0.750  0.750  0.882
Sb  0.250  0.750  0.627
Sb  0.750  0.250  0.373
Se  0.250  0.750  0.122
Se  0.750  0.250  0.878

=====

#B
Computed, not measured: a relaxed structure of Sm2SbSe at the PBE level of DFT.

Calculated values
D(E_F) = 0.82 states/eV/atom

Cell: 7.934 7.934 7.934 Å, 30.95 30.95 30.95°
Positions (direct):
Sm  0.000  0.000  0.000
Sm  0.168  0.168  0.168
Sb  0.585  0.585  0.585
Se  0.416  0.416  0.416

=====

It turns out #A is the most stable, with the second structure 103 meV per atom higher.

=====

#A
Computed, not measured: a relaxed structure of Sm4Sb2Se at the PBE level of DFT.

Calculated values
D(E_F) = 0.98 states/eV/atom

Cell: 7.687 6.531 9.266 Å, 90.00 112.53 90.00°
Positions (direct):
Sm  0.148  0.250  0.100
Sm  0.190  0.750  0.365
Sm  0.299  0.002  0.774
Sm  0.299  0.498  0.774
Sm  0.701  0.502  0.226
Sm  0.701  0.998  0.226
Sm  0.810  0.250  0.635
Sm  0.852  0.750  0.900
Sb  0.084  0.250  0.435
Sb  0.298  0.750  0.071
Sb  0.702  0.250  0.929
Sb  0.916  0.750  0.565
Se  0.495  0.250  0.361
Se  0.505  0.750  0.639

=====

#B
Computed, not measured: a relaxed structure of Sm4Sb2Se at the PBE level of DFT.

Calculated values
D(E_F) = 0.92 states/eV/atom

Cell: 8.001 8.001 8.001 Å, 110.29 110.29 107.84°
Positions (direct):
Sm  0.109  0.229  0.736
Sm  0.123  0.743  0.764
Sm  0.257  0.021  0.380
Sm  0.493  0.373  0.264
Sm  0.627  0.891  0.120
Sm  0.641  0.877  0.620
Sm  0.771  0.507  0.880
Sm  0.979  0.359  0.236
Sb  0.259  0.625  0.134
Sb  0.375  0.509  0.634
Sb  0.491  0.125  0.866
Sb  0.875  0.741  0.366
Se  0.000  0.000  0.000
Se  0.750  0.250  0.500

=====

It turns out #B is the most stable, with the second structure 180 meV per atom higher.

=====

#A
Computed, not measured: a relaxed structure of Sm2SbSe5 at the PBE level of DFT.

Calculated values
D(E_F) = 0.29 states/eV/atom

Cell: 7.650 7.650 13.653 Å, 90.00 90.00 136.71°
Positions (direct):
Sm  0.160  0.840  0.569
Sm  0.160  0.840  0.931
Sm  0.840  0.160  0.069
Sm  0.840  0.160  0.431
Sb  0.165  0.835  0.250
Sb  0.835  0.165  0.750
Se  0.041  0.959  0.103
Se  0.041  0.959  0.397
Se  0.280  0.720  0.750
Se  0.300  0.700  0.090
Se  0.300  0.700  0.410
Se  0.700  0.300  0.590
Se  0.700  0.300  0.910
Se  0.720  0.280  0.250
Se  0.959  0.041  0.603
Se  0.959  0.041  0.897

=====

#B
Computed, not measured: a relaxed structure of Sm2SbSe5 at the PBE level of DFT.

Calculated values
D(E_F) = 0.29 states/eV/atom

Cell: 8.157 12.126 4.124 Å, 90.00 90.00 90.00°
Positions (direct):
Sm  0.032  0.174  0.000
Sm  0.468  0.674  0.000
Sm  0.532  0.326  0.000
Sm  0.968  0.826  0.000
Sb  0.000  0.500  0.500
Sb  0.500  0.000  0.500
Se  0.000  0.000  0.500
Se  0.176  0.402  0.000
Se  0.181  0.698  0.500
Se  0.319  0.198  0.500
Se  0.324  0.902  0.000
Se  0.500  0.500  0.500
Se  0.676  0.098  0.000
Se  0.681  0.802  0.500
Se  0.819  0.302  0.500
Se  0.824  0.598  0.000

=====

It turns out #B is the most stable, with the second structure 103 meV per atom higher.

=====

#A
Computed, not measured: a relaxed structure of Sm3Sb2Se2 at the PBE level of DFT.

Calculated values
D(E_F) = 0.44 states/eV/atom

Cell: 8.239 8.239 7.927 Å, 117.62 117.62 30.52°
Positions (direct):
Sm  0.000  0.000  0.000
Sm  0.282  0.282  0.312
Sm  0.718  0.718  0.688
Sb  0.358  0.358  0.008
Sb  0.642  0.642  0.992
Se  0.128  0.128  0.423
Se  0.872  0.872  0.577

=====

#B
Computed, not measured: a relaxed structure of Sm3Sb2Se2 at the PBE level of DFT.

Calculated values
D(E_F) = 0.46 states/eV/atom

Cell: 6.923 6.923 8.549 Å, 117.65 117.65 35.66°
Positions (direct):
Sm  0.000  0.000  0.000
Sm  0.350  0.350  0.272
Sm  0.650  0.650  0.728
Sb  0.071  0.071  0.406
Sb  0.929  0.929  0.594
Se  0.330  0.330  0.910
Se  0.670  0.670  0.090

=====

It turns out #B is the most stable, with the second structure 109 meV per atom higher.

=====

#A
Computed, not measured: a relaxed structure of SmSbSe3 at the PBE level of DFT.

Cell: 7.375 4.142 10.274 Å, 90.00 90.22 90.00°
Positions (direct):
Sm  0.073  0.250  0.322
Sm  0.927  0.750  0.678
Sb  0.415  0.250  0.693
Sb  0.585  0.750  0.307
Se  0.107  0.250  0.829
Se  0.234  0.750  0.495
Se  0.422  0.250  0.173
Se  0.578  0.750  0.827
Se  0.766  0.250  0.505
Se  0.893  0.750  0.171

=====

#B
Computed, not measured: a relaxed structure of SmSbSe3 at the PBE level of DFT.

Cell: 10.683 10.683 7.301 Å, 90.00 90.00 157.52°
Positions (direct):
Sm  0.166  0.834  0.500
Sm  0.834  0.166  0.000
Sb  0.349  0.651  0.505
Sb  0.651  0.349  0.005
Se  0.087  0.913  0.838
Se  0.251  0.749  0.172
Se  0.409  0.591  0.830
Se  0.591  0.409  0.330
Se  0.749  0.251  0.672
Se  0.913  0.087  0.338

=====

It turns out #A is the most stable, with the second structure 15 meV per atom higher.